Compound: AgHgPt2
Source: Alexandria
Functional: SCAN
Structure: single point on PBEsol structure

Unit cell a=2.8083 b=4.8261 c=4.8639 alpha=90.00 beta=91.02 gamma=90.00
Last column: nearest neighbours and their distance in Å.
Space group P2/m (No. 10)
One atom of each set of equivalent atoms:
1 Ag 0.0000 0.0000 0.0000  4 Hg 2.79-2.83, 4 Pt 2.79, 2 Ag 2.81
2 Hg 0.5000 0.0000 0.5000  4 Ag 2.79-2.83, 4 Pt 2.80, 2 Hg 2.81
3 Pt 0.2537 0.5000 0.7530  6 Pt 2.75-2.84, 2 Ag 2.79, 2 Hg 2.80

D(E_F): 1.7 states/eV/f.u.
Electronic total energy: -59.923 eV/atom
Volume: 66 Å³/cell